[1]
Density functional theory data (PBE) for MnAg3Hg after structural relaxation.

Cell: 5.0189 5.0189 5.0189 Å, 90.00 90.00 90.00°
Site moments in Bohr magnetons follow the coordinates.
Positions (direct):
Ag 0.0000 0.0000 0.5000  0.09
Ag 0.0000 0.5000 0.0000  0.06
Ag 0.5000 0.0000 0.0000  0.05
Hg 0.5000 0.5000 0.5000  0.01
Mn 0.0000 0.0000 0.0000  3.99

Output
The total DFT energy (no corrections) comes out at -2.775 eV/atom. Its space-group type is No. 221. The calculation puts the magnetization at 4.41 μB per cell. For the formation energy, the calculation gives 0.83 eV/atom.

---

[2]
Density functional theory data (PBE) for LaNdPbO after structural relaxation.

Cell: 3.8937 3.8478 7.7243 Å, 104.43 104.60 90.00°
Site moments in Bohr magnetons follow the coordinates.
Positions (direct):
Nd 0.6668 0.1251 0.3336  0.15
La 0.9787 0.4368 0.9573  0.12
Pb 0.3184 0.7766 0.6368  0.01
O 0.5710 0.5293 0.1420  0.00

Output
The total DFT energy (no corrections) comes out at -6.301 eV/atom. Its space-group type is No. 44. The calculation puts the magnetization at 0.72 μB per cell. For the uncorrected formation energy, the calculation gives -1710 meV/atom.

---

[3]
Density functional theory data (PBE) for La2Pm3YHo6 after structural relaxation.

Cell: 6.2421 6.2421 11.8478 Å, 95.02 95.02 119.99°
Positions (direct):
Ho 0.9157 0.5828 0.7483
Ho 0.4172 0.0843 0.2517
Ho 0.5828 0.9157 0.7483
Ho 0.7516 0.7516 0.2520
Ho 0.0843 0.4172 0.2517
Ho 0.2484 0.2484 0.7480
Pm 0.8333 0.1667 0.5000
Pm 0.1667 0.8333 0.5000
Pm 0.5000 0.5000 0.5000
La 0.6663 0.3337 0.0000
La 0.3337 0.6663 0.0000
Y 0.0000 0.0000 0.0000

Output
The total DFT energy (no corrections) comes out at -4.820 eV/atom. Its space-group type is No. 12. The calculation puts the magnetization at 0.00 μB per cell. For the formation energy, the calculation gives 0.02 eV/atom.

---

[4]
Density functional theory data (PBE) for TbNi2Sb2 after structural relaxation.

Cell: 4.4193 4.4193 10.0372 Å, 90.00 90.00 90.00°
Positions (direct):
Ni 0.0000 0.0000 0.0000
Ni 0.5000 0.5000 0.0000
Ni 0.5000 0.0000 0.3728
Ni 0.0000 0.5000 0.6272
Sb 0.5000 0.0000 0.1272
Sb 0.0000 0.0000 0.5000
Sb 0.5000 0.5000 0.5000
Sb 0.0000 0.5000 0.8728
Tb 0.5000 0.0000 0.7656
Tb 0.0000 0.5000 0.2344

Output
The total DFT energy (no corrections) comes out at -5.466 eV/atom. Its space-group type is No. 129. The calculation puts the magnetization at 0.00 μB per cell. For the uncorrected formation energy, the calculation gives -579 meV/atom.

---

[5]
Density functional theory data (PBE) for Ti12Sb5Se2 after structural relaxation.

Cell: 6.9067 8.3419 7.9369 Å, 104.31 90.00 114.45°
Positions (direct):
Ti 0.6229 0.6749 0.8969
Ti 0.9982 0.9963 0.8273
Ti 0.4085 0.2652 0.5544
Ti 0.4797 0.9594 0.7156
Ti 0.1433 0.7348 0.4456
Ti 0.9480 0.3251 0.1031
Ti 0.8567 0.2652 0.5544
Ti 0.3771 0.3251 0.1031
Ti 0.0018 0.0037 0.1727
Ti 0.5915 0.7348 0.4456
Ti 0.0520 0.6749 0.8969
Ti 0.5203 0.0406 0.2844
Sb 0.0000 0.0000 0.5000
Sb 0.3173 0.6346 0.1421
Sb 0.7223 0.4446 0.3591
Sb 0.2777 0.5554 0.6409
Sb 0.6827 0.3654 0.8579
Se 0.7030 0.0000 0.0000
Se 0.2970 0.0000 0.0000

Output
The total DFT energy (no corrections) comes out at -6.662 eV/atom. Its space-group type is No. 12. The calculation puts the magnetization at 0.00 μB per cell. For the uncorrected formation energy, the calculation gives -224 meV/atom.

---

[6]
Density functional theory data (PBE) for BaAgSe after structural relaxation.

Cell: 5.3557 5.3557 5.3557 Å, 60.00 60.00 60.00°
Positions (direct):
Se 0.0000 0.0000 0.0000
Ag 0.5000 0.5000 0.5000
Ba 0.2500 0.2500 0.2500

Output
The total DFT energy (no corrections) comes out at -3.343 eV/atom. Its space-group type is No. 216. The calculation puts the magnetization at 0.00 μB per cell. For the uncorrected formation energy, the calculation gives -590 meV/atom.

---

[7]
Density functional theory data (PBE) for Zr2ScGeCl after structural relaxation.

Cell: 4.7271 5.1885 4.7271 Å, 90.00 90.00 90.00°
Positions (direct):
Sc 0.5000 0.5000 0.5000
Ge 0.0000 0.5000 0.0000
Zr 0.0000 0.0000 0.5000
Zr 0.5000 0.0000 0.0000
Cl 0.0000 0.0000 0.0000

Output
The total DFT energy (no corrections) comes out at -5.902 eV/atom. Its space-group type is No. 123. The calculation puts the magnetization at 0.00 μB per cell. For the uncorrected formation energy, the calculation gives 76 meV/atom.

---

[8]
Density functional theory data (PBE) for B5C7 after structural relaxation.

Cell: 4.7272 4.7272 7.5528 Å, 114.70 114.70 31.95°
Site moments in Bohr magnetons follow the coordinates.
Positions (direct):
C 0.3250 0.3250 0.1593  0.00
C 0.1594 0.1594 0.2129  0.00
C 0.8207 0.8207 0.0413  0.00
C 0.1692 0.1692 0.7066  0.00
C 0.8542 0.8542 0.5524  0.00
C 0.6712 0.6712 0.8257  0.00
C 0.0065 0.0065 0.5115  0.00
B 0.6927 0.6927 0.3337  0.06
B 0.4752 0.4752 0.3743  0.06
B 0.9898 0.9898 0.0170  0.00
B 0.3094 0.3094 0.6337  0.00
B 0.5267 0.5267 0.8815  0.00

Output
The total DFT energy (no corrections) comes out at -7.742 eV/atom. Its space-group type is No. 8. The calculation puts the magnetization at 0.22 μB per cell. For the formation energy, the calculation gives 0.42 eV/atom.

---

What did the first record say?
Density functional theory data (PBE) for MnAg3Hg after structural relaxation.

Cell: 5.0189 5.0189 5.0189 Å, 90.00 90.00 90.00°
Site moments in Bohr magnetons follow the coordinates.
Positions (direct):
Ag 0.0000 0.0000 0.5000  0.09
Ag 0.0000 0.5000 0.0000  0.06
Ag 0.5000 0.0000 0.0000  0.05
Hg 0.5000 0.5000 0.5000  0.01
Mn 0.0000 0.0000 0.0000  3.99

Output
The total DFT energy (no corrections) comes out at -2.775 eV/atom. Its space-group type is No. 221. The calculation puts the magnetization at 4.41 μB per cell. For the formation energy, the calculation gives 0.83 eV/atom.

---

- Look up the magnetization of the second one.
  0.72 μB per cell

---

- Number 5 is which compound?
  Ti12Sb5Se2